# PBE KMn2TlPb, optimized geometry
data_KMn2TlPb
_cell_length_a 5.427
_cell_length_b 5.427
_cell_length_c 5.791
_cell_angle_alpha 90.00
_cell_angle_beta 90.00
_cell_angle_gamma 90.00
_space_group_name_H-M_alt 'P 4/m m m'
_space_group_IT_number 123
_space_group_name_Hall '-P 4 2'
loop_
_atom_site_label
_atom_site_fract_x
_atom_site_fract_y
_atom_site_fract_z
_atom_site_occupancy
K1 0.000 0.000 0.000 1
Mn1 0.000 0.500 0.000 1
Tl1 0.000 0.000 0.500 1
Pb1 0.500 0.500 0.500 1
# **V**: 34.109 Å³ per atom
# **Magnetization**: 8.70 μB per cell
# **Fermi-level density of states**: 5.872 states/eV/cell
# **Energy of formation**: 151.39 kJ/mol of atoms



# PBE KYMnPb2, optimized geometry
data_KYMnPb2
_cell_length_a 5.824
_cell_length_b 5.824
_cell_length_c 5.424
_cell_angle_alpha 90.00
_cell_angle_beta 90.00
_cell_angle_gamma 90.00
_space_group_name_H-M_alt 'P 4/m m m'
_space_group_IT_number 123
_space_group_name_Hall '-P 4 2'
loop_
_atom_site_label
_atom_site_fract_x
_atom_site_fract_y
_atom_site_fract_z
_atom_site_occupancy
K1 0.000 0.000 0.000 1
Y1 0.000 0.000 0.500 1
Mn1 0.500 0.500 0.500 1
Pb1 0.000 0.500 0.000 1
# **V**: 36.795 Å³ per atom
# **Magnetization**: 4.90 μB per cell
# **Fermi-level density of states**: 7.383 states/eV/cell
# **Energy of formation**: 137.28 kJ/mol of atoms



# PBE KZr2MnPb, optimized geometry
data_KZr2MnPb
_cell_length_a 4.924
_cell_length_b 4.924
_cell_length_c 5.653
_cell_angle_alpha 90.00
_cell_angle_beta 90.00
_cell_angle_gamma 90.00
_space_group_name_H-M_alt 'P 4/m m m'
_space_group_IT_number 123
_space_group_name_Hall '-P 4 2'
loop_
_atom_site_label
_atom_site_fract_x
_atom_site_fract_y
_atom_site_fract_z
_atom_site_occupancy
K1 0.000 0.000 0.000 1
Zr1 0.000 0.500 0.500 1
Mn1 0.000 0.000 0.500 1
Pb1 0.500 0.500 0.000 1
# **V**: 27.409 Å³ per atom
# **Magnetization**: 1.54 μB per cell
# **Fermi-level density of states**: 6.034 states/eV/cell
# **Energy of formation**: 74.03 kJ/mol of atoms



# PBE KMnPd3, optimized geometry
data_KMnPd3
_cell_length_a 4.877
_cell_length_b 4.877
_cell_length_c 4.877
_cell_angle_alpha 90.00
_cell_angle_beta 90.00
_cell_angle_gamma 90.00
_space_group_name_H-M_alt 'P m -3 m'
_space_group_IT_number 221
_space_group_name_Hall '-P 4 2 3'
loop_
_atom_site_label
_atom_site_fract_x
_atom_site_fract_y
_atom_site_fract_z
_atom_site_occupancy
K1 0.000 0.000 0.000 1
Mn1 0.500 0.500 0.500 1
Pd1 0.000 0.000 0.500 1
# **V**: 23.203 Å³ per atom
# **Magnetization**: 0.75 μB per cell
# **Distance to the lowest polymorph of the same formula**: 1423 meV/atom
# **Fermi-level density of states**: 9.777 states/eV/cell
# **Energy of formation**: 198.41 kJ/mol of atoms



# PBE KMnPd, optimized geometry
data_KMnPd
_cell_length_a 6.318
_cell_length_b 4.618
_cell_length_c 11.863
_cell_angle_alpha 90.00
_cell_angle_beta 90.00
_cell_angle_gamma 90.00
_space_group_name_H-M_alt 'P n m a'
_space_group_IT_number 62
loop_
_space_group_symop_operation_xyz
'x,y,z'
'-x,-y,-z'
'-x+1/2,-y,z+1/2'
'x+1/2,y,-z+1/2'
'x+1/2,-y+1/2,-z+1/2'
'-x+1/2,y+1/2,z+1/2'
'-x,y+1/2,-z'
'x,-y+1/2,z'
loop_
_atom_site_label
_atom_site_fract_x
_atom_site_fract_y
_atom_site_fract_z
_atom_site_occupancy
K1 0.107 0.250 0.127 1
Mn1 0.093 0.750 0.358 1
Pd1 0.099 0.250 0.450 1
# **V**: 28.842 Å³ per atom
# **Magnetization**: 19.28 μB per cell
# **Distance to the lowest polymorph of the same formula**: 229 meV/atom
# **Fermi-level density of states**: 7.821 states/eV/cell
# **Energy of formation**: 36.16 kJ/mol of atoms



# PBE KMnPd, optimized geometry
data_KMnPd
_cell_length_a 6.850
_cell_length_b 6.850
_cell_length_c 6.850
_cell_angle_alpha 90.00
_cell_angle_beta 90.00
_cell_angle_gamma 90.00
_space_group_name_H-M_alt 'F -4 3 m'
_space_group_IT_number 216
_space_group_name_Hall 'F -4 2 3'
loop_
_atom_site_label
_atom_site_fract_x
_atom_site_fract_y
_atom_site_fract_z
_atom_site_occupancy
K1 0.000 0.000 0.000 1
Mn1 0.000 0.000 0.500 1
Pd1 0.250 0.250 0.750 1
# **V**: 26.780 Å³ per atom
# **Magnetization**: 19.39 μB per cell
# **Distance to the lowest polymorph of the same formula**: 525 meV/atom
# **Fermi-level density of states**: 11.917 states/eV/cell
# **Energy of formation**: 64.73 kJ/mol of atoms



# PBE KMnPd, optimized geometry
data_KMnPd
_cell_length_a 4.343
_cell_length_b 12.235
_cell_length_c 5.722
_cell_angle_alpha 90.00
_cell_angle_beta 90.00
_cell_angle_gamma 90.00
_space_group_name_H-M_alt 'C m c m'
_space_group_IT_number 63
_space_group_name_Hall '-C 2c 2'
loop_
_atom_site_label
_atom_site_fract_x
_atom_site_fract_y
_atom_site_fract_z
_atom_site_occupancy
K1 0.000 0.225 0.250 1
Mn1 0.000 0.500 0.000 1
Pd1 0.000 0.032 0.750 1
# **V**: 25.334 Å³ per atom
# **Magnetization**: 17.50 μB per cell
# **Distance to the lowest polymorph of the same formula**: 46 meV/atom
# **Fermi-level density of states**: 9.717 states/eV/cell
# **Energy of formation**: 18.56 kJ/mol of atoms



# PBE KMnPd, optimized geometry
data_KMnPd
_cell_length_a 5.8860
_cell_length_b 5.8860
_cell_length_c 9.6710
_cell_angle_alpha 90.00
_cell_angle_beta 90.00
_cell_angle_gamma 120.00
_space_group_name_H-M_alt 'P 63/m m c'
_space_group_IT_number 194
_space_group_name_Hall '-P 6c 2c'
loop_
_atom_site_label
_atom_site_fract_x
_atom_site_fract_y
_atom_site_fract_z
_atom_site_occupancy
K1 0.3333 0.6667 0.2500 1
Mn1 0.0000 0.0000 0.2500 1
Pd1 0.0000 0.0000 0.0000 1
# **V**: 48.360 Å³ per atom
# **Magnetization**: 10.06 μB per cell
# **Distance to the lowest polymorph of the same formula**: 809 meV/atom
# **Fermi-level density of states**: 8.536 states/eV/cell
# **Energy of formation**: 92.15 kJ/mol of atoms



# PBE KMnPd3, optimized geometry
data_KMnPd3
_cell_length_a 4.711
_cell_length_b 4.711
_cell_length_c 4.711
_cell_angle_alpha 90.00
_cell_angle_beta 90.00
_cell_angle_gamma 90.00
_space_group_name_H-M_alt 'P m -3 m'
_space_group_IT_number 221
_space_group_name_Hall '-P 4 2 3'
loop_
_atom_site_label
_atom_site_fract_x
_atom_site_fract_y
_atom_site_fract_z
_atom_site_occupancy
K1 0.000 0.000 0.000 1
Mn1 0.500 0.500 0.500 1
Pd1 0.000 0.500 0.500 1
# **V**: 20.916 Å³ per atom
# **Magnetization**: 0.00 μB per cell
# **Distance to the lowest polymorph of the same formula**: 0 meV/atom
# **Fermi-level density of states**: 7.496 states/eV/cell
# **Energy of formation**: 61.11 kJ/mol of atoms



# PBE KMnPd, optimized geometry
data_KMnPd
_cell_length_a 3.087
_cell_length_b 3.911
_cell_length_c 12.301
_cell_angle_alpha 80.99
_cell_angle_beta 88.19
_cell_angle_gamma 90.00
_space_group_name_H-M_alt 'P -1'
_space_group_IT_number 2
loop_
_space_group_symop_operation_xyz
'x,y,z'
'-x,-y,-z'
loop_
_atom_site_label
_atom_site_fract_x
_atom_site_fract_y
_atom_site_fract_z
_atom_site_occupancy
K1 0.210 0.342 0.321 1
Mn1 0.243 0.473 0.055 1
Pd1 0.265 0.059 0.880 1
# **V**: 24.438 Å³ per atom
# **Magnetization**: 0.00 μB per cell
# **Distance to the lowest polymorph of the same formula**: 162 meV/atom
# **Fermi-level density of states**: 3.516 states/eV/cell
# **Energy of formation**: 29.68 kJ/mol of atoms



# PBE KMnPd, optimized geometry
data_KMnPd
_cell_length_a 4.3755
_cell_length_b 4.3755
_cell_length_c 10.4845
_cell_angle_alpha 90.00
_cell_angle_beta 90.00
_cell_angle_gamma 120.00
_space_group_name_H-M_alt 'P 63/m m c'
_space_group_IT_number 194
_space_group_name_Hall '-P 6c 2c'
loop_
_atom_site_label
_atom_site_fract_x
_atom_site_fract_y
_atom_site_fract_z
_atom_site_occupancy
K1 0.0000 0.0000 0.0000 1
Mn1 0.3333 0.6667 0.2500 1
Pd1 0.3333 0.6667 0.7500 1
# **V**: 28.972 Å³ per atom
# **Magnetization**: 9.07 μB per cell
# **Distance to the lowest polymorph of the same formula**: 248 meV/atom
# **Fermi-level density of states**: 4.055 states/eV/cell
# **Energy of formation**: 38.03 kJ/mol of atoms



# PBE KMnPd, optimized geometry
data_KMnPd
_cell_length_a 10.218
_cell_length_b 4.350
_cell_length_c 6.793
_cell_angle_alpha 90.00
_cell_angle_beta 94.90
_cell_angle_gamma 90.00
_space_group_name_H-M_alt 'C 1 2/m 1'
_space_group_IT_number 12
loop_
_space_group_symop_operation_xyz
'x,y,z'
'-x,-y,-z'
'-x,y,-z'
'x,-y,z'
'x+1/2,y+1/2,z'
'-x+1/2,-y+1/2,-z'
'-x+1/2,y+1/2,-z'
'x+1/2,-y+1/2,z'
loop_
_atom_site_label
_atom_site_fract_x
_atom_site_fract_y
_atom_site_fract_z
_atom_site_occupancy
K1 0.129 0.000 0.355 1
Mn1 0.078 0.500 0.941 1
Pd1 0.186 0.000 0.896 1
# **V**: 25.069 Å³ per atom
# **Magnetization**: 0.00 μB per cell
# **Distance to the lowest polymorph of the same formula**: 391 meV/atom
# **Fermi-level density of states**: 9.445 states/eV/cell
# **Energy of formation**: 51.83 kJ/mol of atoms